1.
! PBE Th2Cd2Pd7, optimized geometry; values from VASP
&SYSTEM
  ibrav = 0, nat = 11, ntyp = 3
/
ATOMIC_SPECIES
Th 232.04 Th.upf
Cd 112.41 Cd.upf
Pd 106.42 Pd.upf
ATOMIC_POSITIONS angstrom
Th 6.222 9.053 4.335
Th 2.074 2.171 0.224
Cd 2.074 5.797 1.969
Cd 4.148 4.714 3.783
Pd 4.148 1.190 2.053
Pd 6.222 6.114 5.042
Pd 4.148 6.798 0.294
Pd 4.148 3.938 1.029
Pd 4.148 7.507 3.160
Pd 4.148 7.909 6.065
Pd 2.074 2.942 3.147
CELL_PARAMETERS angstrom
4.148 0.000 0.000
2.074 7.391 -0.699
2.074 2.889 6.838
! Total DFT energy (no corrections), eV/atom: -5.411
! ΔH_f (0 K), eV/atom: -0.591
! Space-group type: Imm2, No. 44
! Fermi-level density of states, states/eV/f.u.: 5.40

---

2.
! PBE ThCdPd3, optimized geometry; values from VASP
&SYSTEM
  ibrav = 0, nat = 20, ntyp = 3
/
ATOMIC_SPECIES
Th 232.04 Th.upf
Cd 112.41 Cd.upf
Pd 106.42 Pd.upf
ATOMIC_POSITIONS angstrom
Th 2.786 4.652 5.934
Th 0.060 0.096 1.978
Th 2.905 4.459 1.978
Th 5.631 9.015 5.934
Cd 0.000 4.555 0.000
Cd 2.846 0.000 3.956
Cd 2.846 0.000 0.000
Cd 0.000 4.555 3.956
Pd 4.531 2.124 0.463
Pd 4.006 6.679 4.419
Pd 4.006 6.679 7.448
Pd 1.161 6.987 4.419
Pd 1.161 6.987 7.448
Pd 1.685 2.431 3.492
Pd 1.685 2.431 0.463
Pd 4.531 2.124 3.492
Pd 0.285 2.652 5.934
Pd 2.560 7.208 1.978
Pd 5.406 6.459 1.978
Pd 3.131 1.903 5.934
CELL_PARAMETERS angstrom
5.691 0.000 0.000
0.000 9.111 0.000
0.000 0.000 7.912
! Total DFT energy (no corrections), eV/atom: -5.315
! ΔH_f (0 K), eV/atom: -0.533
! Space-group type: Pnma, No. 62
! Fermi-level density of states, states/eV/f.u.: 2.42

---

3.
! PBE ThCd4Pd15, optimized geometry; values from VASP
&SYSTEM
  ibrav = 0, nat = 20, ntyp = 3
/
ATOMIC_SPECIES
Th 232.04 Th.upf
Cd 112.41 Cd.upf
Pd 106.42 Pd.upf
ATOMIC_POSITIONS angstrom
Th 0.000 0.000 0.000
Cd 0.000 0.000 4.112
Cd 0.000 0.000 7.988
Cd 0.000 0.000 11.878
Cd 0.000 0.000 15.754
Pd 2.060 2.060 0.000
Pd 2.060 2.060 4.090
Pd 2.060 2.060 8.011
Pd 2.060 2.060 11.855
Pd 2.060 2.060 15.777
Pd 2.060 0.000 2.098
Pd 2.060 0.000 6.060
Pd 2.060 0.000 9.933
Pd 2.060 0.000 13.807
Pd 2.060 0.000 17.768
Pd 0.000 2.060 2.098
Pd 0.000 2.060 6.060
Pd 0.000 2.060 9.933
Pd 0.000 2.060 13.807
Pd 0.000 2.060 17.768
CELL_PARAMETERS angstrom
4.121 0.000 0.000
0.000 4.121 0.000
0.000 0.000 19.867
! Total DFT energy (no corrections), eV/atom: -4.839
! ΔH_f (0 K), eV/atom: -0.390
! Space-group type: P4/mmm, No. 123
! Fermi-level density of states, states/eV/f.u.: 21.11

---

4.
! PBE ThCdPd, optimized geometry; values from VASP
&SYSTEM
  ibrav = 0, nat = 6, ntyp = 3
/
ATOMIC_SPECIES
Th 232.04 Th.upf
Cd 112.41 Cd.upf
Pd 106.42 Pd.upf
ATOMIC_POSITIONS angstrom
Th 4.499 2.550 5.048
Th 4.499 3.774 1.043
Cd 6.749 4.620 3.512
Cd 2.250 1.704 2.580
Pd 4.499 0.930 1.019
Pd 4.499 5.394 5.072
CELL_PARAMETERS angstrom
4.499 0.000 0.000
2.250 5.107 -0.047
2.250 1.217 6.139
! Total DFT energy (no corrections), eV/atom: -5.059
! ΔH_f (0 K), eV/atom: -0.550
! Space-group type: C2/m, No. 12
! Fermi-level density of states, states/eV/f.u.: 2.14

---

5.
! PBE ThCd2Pd5, optimized geometry; values from VASP
&SYSTEM
  ibrav = 0, nat = 8, ntyp = 3
/
ATOMIC_SPECIES
Th 232.04 Th.upf
Cd 112.41 Cd.upf
Pd 106.42 Pd.upf
ATOMIC_POSITIONS angstrom
Th 0.000 0.000 0.000
Cd 1.343 1.547 3.581
Cd 3.000 3.456 1.960
Pd 1.707 1.966 -1.489
Pd 2.657 0.773 1.046
Pd 0.392 2.740 1.046
Pd 1.685 4.229 4.495
Pd 3.950 2.263 4.495
CELL_PARAMETERS angstrom
3.972 0.000 -1.489
-0.558 3.932 -1.489
0.929 1.071 8.519
! Total DFT energy (no corrections), eV/atom: -5.056
! ΔH_f (0 K), eV/atom: -0.654
! Space-group type: I4/mmm, No. 139
! Fermi-level density of states, states/eV/f.u.: 2.92

---

6.
! PBE ThCd3Pd, optimized geometry; values from VASP
&SYSTEM
  ibrav = 0, nat = 10, ntyp = 3
/
ATOMIC_SPECIES
Th 232.04 Th.upf
Cd 112.41 Cd.upf
Pd 106.42 Pd.upf
ATOMIC_POSITIONS angstrom
Th 0.186 -0.351 2.873
Th 1.778 -7.450 4.413
Cd -1.187 -6.950 2.871
Cd -3.477 -3.154 0.651
Cd -0.833 -2.583 0.549
Cd -1.165 -7.520 0.224
Cd 1.198 -5.340 1.159
Cd -1.881 -3.612 3.558
Pd 0.000 0.000 0.000
Pd -1.666 -5.052 1.074
CELL_PARAMETERS angstrom
-0.043 1.150 5.343
-5.339 -1.153 0.205
4.699 -8.949 -0.832
! Total DFT energy (no corrections), eV/atom: -3.050
! ΔH_f (0 K), eV/atom: 0.022
! Space-group type: I-4m2, No. 119
! Fermi-level density of states, states/eV/f.u.: 3.67

---

7.
! PBE Th2CdPd4, optimized geometry; values from VASP
&SYSTEM
  ibrav = 0, nat = 14, ntyp = 3
/
ATOMIC_SPECIES
Th 232.04 Th.upf
Cd 112.41 Cd.upf
Pd 106.42 Pd.upf
ATOMIC_POSITIONS angstrom
Th 1.495 0.770 4.215
Th 2.810 4.205 2.360
Th 4.242 0.765 1.336
Th -2.270 0.745 4.965
Cd -0.445 3.363 2.821
Cd 2.759 3.462 5.905
Pd -0.797 0.211 2.425
Pd 1.391 1.803 1.348
Pd 4.244 2.081 3.995
Pd 2.732 -2.000 4.152
Pd 1.943 -1.029 1.662
Pd -0.125 -1.656 4.527
Pd -0.369 2.894 5.561
Pd 5.351 3.604 1.148
CELL_PARAMETERS angstrom
7.316 -1.177 0.181
-1.688 7.209 0.347
-2.492 -2.788 5.701
! Total DFT energy (no corrections), eV/atom: -5.883
! ΔH_f (0 K), eV/atom: -0.665
! Energy above the lowest structure with this stoichiometry, kcal/mol of atoms: 0.00
! Space-group type: Cc, No. 9
! Fermi-level density of states, states/eV/f.u.: 3.79

---

8.
! PBE ThCd4Pd2, optimized geometry; values from VASP
&SYSTEM
  ibrav = 0, nat = 14, ntyp = 3
/
ATOMIC_SPECIES
Th 232.04 Th.upf
Cd 112.41 Cd.upf
Pd 106.42 Pd.upf
ATOMIC_POSITIONS angstrom
Th 1.957 0.000 0.000
Th 0.000 4.438 4.438
Cd 0.000 0.862 2.988
Cd 0.000 8.013 5.887
Cd 1.957 1.450 5.300
Cd 1.957 7.426 3.576
Cd 1.957 3.576 7.426
Cd 1.957 5.300 1.450
Cd 0.000 2.988 0.862
Cd 0.000 5.887 8.013
Pd 0.000 1.505 7.371
Pd 0.000 7.371 1.505
Pd 1.957 5.943 5.943
Pd 1.957 2.933 2.933
CELL_PARAMETERS angstrom
3.913 0.000 0.000
0.000 8.876 0.000
0.000 0.000 8.876
! Total DFT energy (no corrections), eV/atom: -3.474
! ΔH_f (0 K), eV/atom: -0.407
! Energy above the lowest structure with this stoichiometry, kcal/mol of atoms: 0.00
! Space-group type: P4_2/mnm, No. 136
! Fermi-level density of states, states/eV/f.u.: 3.06

---

What did the seventh record say?
! PBE Th2CdPd4, optimized geometry; values from VASP
&SYSTEM
  ibrav = 0, nat = 14, ntyp = 3
/
ATOMIC_SPECIES
Th 232.04 Th.upf
Cd 112.41 Cd.upf
Pd 106.42 Pd.upf
ATOMIC_POSITIONS angstrom
Th 1.495 0.770 4.215
Th 2.810 4.205 2.360
Th 4.242 0.765 1.336
Th -2.270 0.745 4.965
Cd -0.445 3.363 2.821
Cd 2.759 3.462 5.905
Pd -0.797 0.211 2.425
Pd 1.391 1.803 1.348
Pd 4.244 2.081 3.995
Pd 2.732 -2.000 4.152
Pd 1.943 -1.029 1.662
Pd -0.125 -1.656 4.527
Pd -0.369 2.894 5.561
Pd 5.351 3.604 1.148
CELL_PARAMETERS angstrom
7.316 -1.177 0.181
-1.688 7.209 0.347
-2.492 -2.788 5.701
! Total DFT energy (no corrections), eV/atom: -5.883
! ΔH_f (0 K), eV/atom: -0.665
! Energy above the lowest structure with this stoichiometry, kcal/mol of atoms: 0.00
! Space-group type: Cc, No. 9
! Fermi-level density of states, states/eV/f.u.: 3.79